The following is a PBE calculation of a relaxed structure of BeTl2Sn, from Alexandria.

## Properties
- Magnetization: 0.0 Bohr magnetons per cell
- Energy relative to the elements: 583 meV per atom
- Calculated total energy: -40.514 eV/cell
- SG: Fm-3m

Lattice parameters (Å, degrees): 7.4077 7.4077 7.4077 90.00 90.00 90.00
Element x y z (fractional)
Be (0.0000, 0.0000, 0.0000)
Be (0.0000, 0.5000, 0.5000)
Be (0.5000, 0.0000, 0.5000)
Be (0.5000, 0.5000, 0.0000)
Tl (0.2500, 0.2500, 0.2500)
Tl (0.2500, 0.2500, 0.7500)
Tl (0.2500, 0.7500, 0.2500)
Tl (0.2500, 0.7500, 0.7500)
Tl (0.7500, 0.2500, 0.2500)
Tl (0.7500, 0.2500, 0.7500)
Tl (0.7500, 0.7500, 0.2500)
Tl (0.7500, 0.7500, 0.7500)
Sn (0.0000, 0.0000, 0.5000)
Sn (0.0000, 0.5000, 0.0000)
Sn (0.5000, 0.0000, 0.0000)
Sn (0.5000, 0.5000, 0.5000)